Record 1
A plane-wave DFT calculation with GGA-PBEsol was carried out for a relaxed Hf2Si2Pd crystal.

Calculated values
- Crystal system: tetragonal
- DFT total energy: -8.62 eV per atom
- Formation energy without anion corrections: -4.66 eV per formula unit

a b c (Å): 6.3600 6.3600 3.9866
angles (deg): 90.00 90.00 90.00
Last column: nearest neighbours and their distance in Å.
Space group P4/mbm (No. 127)
Inequivalent atoms, fractional coordinates:
Hf: 0.1718 0.3282 0.0000 (multiplicity 4)  6 Si 2.67-2.78
Si: 0.1299 0.6299 0.5000 (multiplicity 4)  1 Si 2.34, 2 Pd 2.49
Pd: 0.0000 0.0000 0.5000 (multiplicity 2)  4 Si 2.49


Record 2
A plane-wave DFT calculation with GGA-PBEsol was carried out for a relaxed MnTcIr crystal.

Calculated values
- Crystal system: hexagonal
- Energy relative to the elements: -8 kJ/mol of formula units
- DFT total energy: -10.31 eV per atom

a b c (Å): 4.1148 4.1148 2.6516
angles (deg): 90.00 90.00 120.00
Last column: nearest neighbours and their distance in Å.
Space group P-6m2 (No. 187)
Inequivalent atoms, fractional coordinates:
Mn: 0.0000 0.0000 0.0000 (multiplicity 1)  3 Tc 2.38, 2 Mn 2.65
Tc: 0.6667 0.3333 0.0000 (multiplicity 1)  3 Mn 2.38, 2 Tc 2.65
Ir: 0.3333 0.6667 0.5000 (multiplicity 1)  2 Ir 2.65, 6 Mn 2.72, 6 Tc 2.72


Record 3
A plane-wave DFT calculation with GGA-PBEsol was carried out for a relaxed Eu2Ti12Cu9O36 crystal.

Calculated values
- Crystal system: trigonal
- DFT total energy: -8.19 eV per atom
- Formation energy without anion corrections: -134.28 eV per formula unit

a b c (Å): 10.4065 10.4065 6.3910
angles (deg): 90.00 90.00 120.00
Last column: nearest neighbours and their distance in Å.
Space group P-3 (No. 147)
Inequivalent atoms, fractional coordinates:
Eu: 0.3333 0.6667 0.3286 (multiplicity 2)  12 O 2.56-2.58
Ti: 0.0000 0.0000 0.5000 (multiplicity 1)  6 O 1.96
Ti: 0.0000 0.5000 0.5000 (multiplicity 3)  6 O 1.95-1.97
Ti: 0.1586 0.3188 0.1627 (multiplicity 6)  6 O 1.88-2.07
Ti: 0.3333 0.6667 0.8378 (multiplicity 2)  6 O 1.94-1.98
Cu: 0.0000 0.5000 0.0000 (multiplicity 3)  4 O 1.93
Cu: 0.1683 0.3361 0.6612 (multiplicity 6)  4 O 1.93-1.94
O: 0.0156 0.1646 0.3303 (multiplicity 6)  2 Ti 1.88-1.96, 1 Cu 1.93
O: 0.0457 0.2694 0.9091 (multiplicity 6)  2 Ti 1.91-1.92, 1 Cu 1.93
O: 0.0723 0.4482 0.2464 (multiplicity 6)  1 Cu 1.93, 2 Ti 1.97-2.03
O: 0.1162 0.7081 0.4137 (multiplicity 6)  1 Cu 1.94, 2 Ti 1.96-2.02
O: 0.1752 0.5249 0.6480 (multiplicity 6)  1 Cu 1.93, 2 Ti 1.95-1.98
O: 0.1891 0.6815 0.0126 (multiplicity 6)  1 Cu 1.93, 2 Ti 1.94-2.07